[1]
# LaSnPt2Se

A relaxed LaSnPt2Se crystal (PBE-GGA, Alexandria).

abc: 5.1125 5.1125 6.4389
angles: 90.00 90.00 90.00
Sites, in units of the cell vectors:
La  0.0000  0.0000  0.0000
Sn  0.0000  0.0000  0.5000
Pt  0.0000  0.5000  0.0000
Pt  0.5000  0.0000  0.0000
Se  0.5000  0.5000  0.5000

Summary:
Calculated total energy: -20.418 eV/cell



[2]
# AcAlPd

A relaxed AcAlPd crystal (PBE-GGA, Alexandria).

abc: 4.4478 4.4478 9.0705
angles: 90.00 90.00 120.26
Sites, in units of the cell vectors:
Ac  0.0000  0.0000  0.0000
Ac  0.0000  0.0000  0.5000
Al  0.3323  0.6677  0.7500
Al  0.6677  0.3323  0.2500
Pd  0.3351  0.6649  0.2500
Pd  0.6649  0.3351  0.7500

Summary:
Energy relative to the lowest polymorph listed for this composition: 54 meV/atom
Energy of formation: -0.686 eV per atom



[3]
# GdErPaTc

A relaxed GdErPaTc crystal (PBE-GGA, Alexandria).

abc: 5.0842 5.0842 5.0842
angles: 60.00 60.00 60.00
Sites, in units of the cell vectors:
Gd  0.0000  0.0000  0.0000
Er  0.7500  0.7500  0.7500
Pa  0.2500  0.2500  0.2500
Tc  0.5000  0.5000  0.5000

Summary:
Energy of formation: 0.195 eV per atom



[4]
# Sc3In2Pb

A relaxed Sc3In2Pb crystal (PBE-GGA, Alexandria).

abc: 3.2808 3.2808 12.9937
angles: 90.00 90.00 90.00
Sites, in units of the cell vectors:
Sc  0.0000  0.0000  0.0000
Sc  0.0000  0.0000  0.3254
Sc  0.0000  0.0000  0.6746
In  0.5000  0.5000  0.1639
In  0.5000  0.5000  0.8361
Pb  0.5000  0.5000  0.5000

Summary:
Energy of formation: -0.383 eV per atom



Results for total magnetization: 0.000, 0.000, 2.121, 0.198 (in μB/atom, following the order of the records).
Results for volume: 33.660, 25.831, 23.232, 23.310 (in Å³ per atom, following the order of the records).